No. 1
## KBaSi2 (PBE-GGA)

Data for a relaxed structure of KBaSi2.

Geometry as extended XYZ:
```
8
Lattice="-8.997 -1.427 0.717 1.492 -6.049 6.685 -3.939 -1.539 5.732" Properties=species:S:1:pos:R:3 pbc="T T T"
K -3.100 -5.663 8.059
K -3.753 -3.738 3.701
Si -1.198 -4.347 5.702
Si -9.525 -7.682 10.760
Si -5.766 -3.972 7.090
Si -6.401 -2.029 2.715
Ba -8.345 -3.352 5.075
Ba 0.000 0.000 0.000
```

## Properties
Its uncorrected formation energy is 553 meV per atom. For the polymorph energy (0 for the lowest one), the calculation gives 734 meV per atom.

No. 2
## Mg2ZrSn (PBE-GGA)

Data for a relaxed structure of Mg2ZrSn.

Geometry as extended XYZ:
```
4
Lattice="-0.244 -4.525 0.086 0.194 0.073 4.347 -4.341 0.238 0.190" Properties=species:S:1:pos:R:3 pbc="T T T"
Mg 0.097 0.036 2.173
Mg -2.171 0.119 0.095
Zr -0.122 -2.262 0.043
Sn -2.195 -2.107 2.312
```

No. 3
## Cs2La2IrO6 (PBE-GGA)

Data for a relaxed structure of Cs2La2IrO6.

Geometry as extended XYZ:
```
11
Lattice="-1.565 2.554 -5.317 1.398 -5.939 0.149 -6.657 -0.618 2.648" Properties=species:S:1:pos:R:3 pbc="T T T"
Ir -3.329 -0.309 1.324
Cs 0.914 -4.551 -0.744
Cs -1.081 1.167 -4.424
O -3.943 -2.319 1.559
O -2.882 -1.683 -4.079
O -1.997 -4.219 -2.447
O -2.291 -1.021 -0.344
O -4.827 0.216 -0.073
O -4.534 -2.982 -2.176
La -3.900 -0.605 -2.159
La -2.925 -3.398 -0.361
```

## Properties
Its uncorrected formation energy is -2011 meV per atom.

No. 4
## Dy2YPu3Se6 (PBE-GGA)

Data for a relaxed structure of Dy2YPu3Se6.

Geometry as extended XYZ:
```
12
Lattice="-2.413 3.303 0.097 -5.672 -4.013 -4.462 -0.999 -3.513 8.463" Properties=species:S:1:pos:R:3 pbc="T T T"
Se -7.674 -3.225 5.183
Se -1.410 -0.999 -1.084
Se -2.427 0.688 2.485
Se -5.237 -1.302 0.318
Se -3.847 -2.922 3.780
Se -6.657 -4.912 1.614
Dy -6.460 -2.266 2.747
Dy -2.625 -1.957 1.351
Pu -4.043 -0.355 -2.182
Pu -5.460 -3.964 -0.882
Pu -3.624 -0.260 4.980
Y -1.207 1.651 0.049
```

## Properties
Its uncorrected formation energy is -1673 meV per atom.

In order of appearance, E_tot = -2.9137, -4.2236, -6.5719, -8.3041 eV per atom.